1.
DFT (PBE) results for a geometry-optimized CaAgIr structure.

Cell: 6.533 6.533 6.533 Å, 90.00 90.00 90.00°
Space group F-43m (No. 216)
Symmetry-distinct sites (fractional):
1 Ca 0.000 0.000 0.000 [4 per cell]
2 Ag 0.000 0.000 0.500 [4 per cell]
3 Ir 0.250 0.250 0.750 [4 per cell]

Values from the calculation:
The calculation puts the polymorph energy (0 for the lowest one) at 0.3271 eV/atom. The formation energy is 0.279 eV/atom. Its crystal system is cubic.

---

2.
DFT (PBE) results for a geometry-optimized CsTi2Al structure.

Cell: 4.967 4.967 20.261 Å, 90.00 90.00 90.00°
Space group I-42d (No. 122)
Symmetry-distinct sites (fractional):
1 Cs 0.000 0.000 0.000 [4 per cell]
2 Ti 0.043 0.250 0.625 [8 per cell]
3 Al 0.000 0.000 0.500 [4 per cell]

Values from the calculation:
The formation energy is 1.171 eV/atom. Its crystal system is tetragonal.

---

3.
DFT (PBE) results for a geometry-optimized AcMnSi2 structure.

Cell: 7.544 4.069 10.676 Å, 90.00 90.00 90.00°
Space group Pnma (No. 62)
Symmetry-distinct sites (fractional):
1 Ac 0.137 0.250 0.125 [4 per cell]
2 Mn 0.002 0.750 0.393 [4 per cell]
3 Si 0.182 0.250 0.816 [4 per cell]
4 Si 0.191 0.250 0.427 [4 per cell]

Values from the calculation:
The calculation puts the polymorph energy (0 for the lowest one) at 0.0000 eV/atom. Its crystal system is orthorhombic.

---

4.
DFT (PBE) results for a geometry-optimized TiOs structure.

Cell: 4.2474 4.2474 5.1558 Å, 90.00 90.00 120.00°
Space group P6_3/mmc (No. 194)
Symmetry-distinct sites (fractional):
1 Ti 0.3333 0.6667 0.2500 [2 per cell]
2 Os 0.3333 0.6667 0.7500 [2 per cell]

Values from the calculation:
The formation energy is 0.678 eV/atom. Its crystal system is hexagonal.

---

5.
DFT (PBE) results for a geometry-optimized Er2Ge2BiRh5 structure.

Cell: 9.830 9.830 3.698 Å, 90.00 90.00 90.00°
Space group P4/mbm (No. 127)
Symmetry-distinct sites (fractional):
1 Er 0.176 0.324 0.000 [4 per cell]
2 Ge 0.120 0.620 0.000 [4 per cell]
3 Bi 0.000 0.000 0.000 [2 per cell]
4 Rh 0.000 0.500 0.500 [2 per cell]
5 Rh 0.070 0.784 0.500 [8 per cell]

Values from the calculation:
The formation energy is -0.734 eV/atom. Its crystal system is tetragonal.

---

6.
DFT (PBE) results for a geometry-optimized Ce4CoSn2 structure.

Cell: 4.858 4.858 17.182 Å, 90.00 90.00 90.00°
Space group I4/mmm (No. 139)
Symmetry-distinct sites (fractional):
1 Ce 0.000 0.000 0.174 [4 per cell]
2 Ce 0.000 0.500 0.000 [4 per cell]
3 Co 0.000 0.000 0.000 [2 per cell]
4 Sn 0.000 0.000 0.363 [4 per cell]

Values from the calculation:
The calculation puts the polymorph energy (0 for the lowest one) at 0.0000 eV/atom. The formation energy is -0.451 eV/atom. Its crystal system is tetragonal.

---

7.
DFT (PBE) results for a geometry-optimized NdGd2In structure.

Cell: 4.914 4.914 4.933 Å, 90.00 90.00 90.00°
Space group P4/mmm (No. 123)
Symmetry-distinct sites (fractional):
1 Nd 0.000 0.000 0.000 [1 per cell]
2 Gd 0.000 0.500 0.500 [2 per cell]
3 In 0.500 0.500 0.000 [1 per cell]

Values from the calculation:
The calculation puts the polymorph energy (0 for the lowest one) at 0.0000 eV/atom. The formation energy is -0.294 eV/atom. Its crystal system is tetragonal.

---

8.
DFT (PBE) results for a geometry-optimized Nd3Y6Ho2Tm structure.

Cell: 6.217 10.760 11.848 Å, 90.00 100.04 90.00°
Space group C2/m (No. 12)
Symmetry-distinct sites (fractional):
1 Nd 0.000 0.000 0.000 [2 per cell]
2 Nd 0.000 0.333 0.000 [4 per cell]
3 Y 0.248 0.333 0.746 [8 per cell]
4 Y 0.249 0.000 0.746 [4 per cell]
5 Ho 0.000 0.167 0.500 [4 per cell]
6 Tm 0.000 0.500 0.500 [2 per cell]

Values from the calculation:
The formation energy is 0.020 eV/atom. Its crystal system is monoclinic.

---

Copy entry 3 word for word.
DFT (PBE) results for a geometry-optimized AcMnSi2 structure.

Cell: 7.544 4.069 10.676 Å, 90.00 90.00 90.00°
Space group Pnma (No. 62)
Symmetry-distinct sites (fractional):
1 Ac 0.137 0.250 0.125 [4 per cell]
2 Mn 0.002 0.750 0.393 [4 per cell]
3 Si 0.182 0.250 0.816 [4 per cell]
4 Si 0.191 0.250 0.427 [4 per cell]

Values from the calculation:
The calculation puts the polymorph energy (0 for the lowest one) at 0.0000 eV/atom. Its crystal system is orthorhombic.